[1]
The following is a meta-GGA SCAN calculation of a PBEsol-optimized structure of NaTl3In, from the Alexandria database. Values from VASP.

Quantum ESPRESSO input file:
```
&SYSTEM
  ibrav = 0, nat = 5, ntyp = 3
/
ATOMIC_SPECIES
Na 22.99 Na.upf
Tl 204.38 Tl.upf
In 114.82 In.upf
CELL_PARAMETERS angstrom
5.712 0.000 0.000
0.000 5.712 0.000
0.000 0.000 5.712
ATOMIC_POSITIONS crystal
Na 0.000 0.000 0.000
Tl 0.000 0.500 0.500
Tl 0.500 0.000 0.500
Tl 0.500 0.500 0.000
In 0.500 0.500 0.500
```

Formation energy (eV per atom): 0.203
SG: Pm-3m
Crystal system: cubic
M_tot (μB/f.u.): 0.00

[2]
The following is a meta-GGA SCAN calculation of a PBEsol-optimized structure of Na2Tl2In, from the Alexandria database. Values from VASP.

Quantum ESPRESSO input file:
```
&SYSTEM
  ibrav = 0, nat = 10, ntyp = 3
/
ATOMIC_SPECIES
Na 22.99 Na.upf
Tl 204.38 Tl.upf
In 114.82 In.upf
CELL_PARAMETERS angstrom
8.030 0.000 0.000
0.000 8.030 0.000
0.000 0.000 4.249
ATOMIC_POSITIONS crystal
Na 0.165 0.335 0.000
Na 0.335 0.835 0.000
Na 0.665 0.165 0.000
Na 0.835 0.665 0.000
Tl 0.137 0.637 0.500
Tl 0.363 0.137 0.500
Tl 0.637 0.863 0.500
Tl 0.863 0.363 0.500
In 0.000 0.000 0.500
In 0.500 0.500 0.500
```

Formation energy (eV per atom): -0.144
SG: P4/mbm
Crystal system: tetragonal
M_tot (μB/f.u.): 0.00

[3]
The following is a meta-GGA SCAN calculation of a PBEsol-optimized structure of NaYIn2, from the Alexandria database. Values from VASP.

Quantum ESPRESSO input file:
```
&SYSTEM
  ibrav = 0, nat = 4, ntyp = 3
/
ATOMIC_SPECIES
Na 22.99 Na.upf
Y 88.91 Y.upf
In 114.82 In.upf
CELL_PARAMETERS angstrom
0.000 3.674 3.674
3.674 0.000 3.674
3.674 3.674 0.000
ATOMIC_POSITIONS crystal
Na 0.000 0.000 0.000
Y 0.500 0.500 0.500
In 0.250 0.250 0.250
In 0.750 0.750 0.750
```

Formation energy (eV per atom): -0.441
SG: Fm-3m
Crystal system: cubic
M_tot (μB/f.u.): 0.01

[4]
The following is a meta-GGA SCAN calculation of a PBEsol-optimized structure of Nb3In, from the Alexandria database. Values from VASP.

Quantum ESPRESSO input file:
```
&SYSTEM
  ibrav = 0, nat = 8, ntyp = 2
/
ATOMIC_SPECIES
Nb 92.91 Nb.upf
In 114.82 In.upf
CELL_PARAMETERS angstrom
5.269 0.000 0.000
0.000 5.269 0.000
0.000 0.000 5.269
ATOMIC_POSITIONS crystal
Nb 0.000 0.250 0.500
Nb 0.000 0.750 0.500
Nb 0.250 0.500 0.000
Nb 0.500 0.000 0.250
Nb 0.500 0.000 0.750
Nb 0.750 0.500 0.000
In 0.000 0.000 0.000
In 0.500 0.500 0.500
```

Formation energy (eV per atom): -0.082
SG: Pm-3n
Crystal system: cubic
M_tot (μB/f.u.): 0.00

[5]
The following is a meta-GGA SCAN calculation of a PBEsol-optimized structure of Nb3In, from the Alexandria database. Values from VASP.

Quantum ESPRESSO input file:
```
&SYSTEM
  ibrav = 0, nat = 4, ntyp = 2
/
ATOMIC_SPECIES
Nb 92.91 Nb.upf
In 114.82 In.upf
CELL_PARAMETERS angstrom
1.719 -2.303 0.000
1.719 2.303 0.000
0.000 0.000 9.318
ATOMIC_POSITIONS crystal
Nb 0.000 0.000 0.000
Nb 0.500 0.500 0.243
Nb 0.500 0.500 0.757
In 0.000 0.000 0.500
```

Formation energy (eV per atom): -0.020
SG: Cmmm
Crystal system: orthorhombic
M_tot (μB/f.u.): 0.00

[6]
The following is a meta-GGA SCAN calculation of a PBEsol-optimized structure of Sr2NbInO6, from the Alexandria database. Values from VASP.

Quantum ESPRESSO input file:
```
&SYSTEM
  ibrav = 0, nat = 20, ntyp = 4
/
ATOMIC_SPECIES
Sr 87.62 Sr.upf
Nb 92.91 Nb.upf
In 114.82 In.upf
O 16.00 O.upf
CELL_PARAMETERS angstrom
5.723 0.000 0.000
0.000 5.786 0.000
-5.712 0.000 8.115
ATOMIC_POSITIONS crystal
Sr 0.243 0.036 0.251
Sr 0.243 0.464 0.751
Sr 0.757 0.536 0.249
Sr 0.757 0.964 0.749
Nb 0.000 0.000 0.500
Nb 0.000 0.500 0.000
In 0.500 0.000 0.000
In 0.500 0.500 0.500
O 0.160 0.223 0.958
O 0.160 0.277 0.458
O 0.239 0.704 0.961
O 0.239 0.796 0.461
O 0.317 0.020 0.740
O 0.317 0.480 0.240
O 0.683 0.520 0.760
O 0.683 0.980 0.260
O 0.761 0.204 0.539
O 0.761 0.296 0.039
O 0.840 0.723 0.542
O 0.840 0.777 0.042
```

Energy relative to the elements, uncorrected (eV per atom): -2.84
SG: P2_1/c
Crystal system: monoclinic
M_tot (μB/f.u.): 0.00

| no. | VASP energy (eV per cell) |
| --- | --- |
| 1 | -253.7 |
| 2 | -374.5 |
| 3 | -100.6 |
| 4 | -266.2 |
| 5 | -132.9 |
| 6 | -353.7 |